(1)
Material: Gd2ThPa
Method: DFT, GGA-PBE
State: optimized geometry

a = 3.4090 Å, b = 3.4090 Å, c = 10.2677 Å
α = 90.00°, β = 90.00°, γ = 90.00°
Space group P4/mmm (No. 123)
Symmetry-distinct sites (fractional):
Gd: 0.0000 0.0000 0.2324 x2
Th: 0.5000 0.5000 0.5000 x1
Pa: 0.5000 0.5000 0.0000 x1

Properties
Calculated volume in A^3/atom: 29.8
Density of states at the Fermi level in states/eV/f.u.: 6.63
Polymorph energy (0 for the lowest one) in meV per atom: 0
M_tot in μB per formula unit: 13.781
Theoretical density in g cm⁻³: 10.82

(2)
Material: Rb2Ce2ErSe6
Method: DFT, GGA-PBE
State: optimized geometry

a = 7.3839 Å, b = 12.7465 Å, c = 8.5059 Å
α = 90.00°, β = 106.80°, γ = 90.00°
Space group C2/m (No. 12)
Symmetry-distinct sites (fractional):
Rb: 0.0000 0.1675 0.0000 x4
Ce: 0.0000 0.3338 0.5000 x4
Er: 0.0000 0.0000 0.5000 x2
Se: 0.2276 0.1646 0.6911 x8
Se: 0.2377 0.5000 0.6912 x4

Properties
Uncorrected formation energy in eV per atom: -1.71
Calculated volume in A^3/atom: 34.8
Density of states at the Fermi level in states/eV/f.u.: 6.18
M_tot in μB per formula unit: 1.022
Theoretical density in g cm⁻³: 4.73

(3)
Material: Zr2SiBi2
Method: DFT, GGA-PBE
State: optimized geometry

a = 8.0030 Å, b = 8.0030 Å, c = 3.9315 Å
α = 90.00°, β = 90.00°, γ = 90.00°
Space group P4/mbm (No. 127)
Symmetry-distinct sites (fractional):
Zr: 0.1406 0.3594 0.0000 x4
Si: 0.0000 0.0000 0.5000 x2
Bi: 0.1552 0.6552 0.5000 x4

Properties
Uncorrected formation energy in eV per atom: 0.16
Calculated volume in A^3/atom: 25.2
Density of states at the Fermi level in states/eV/f.u.: 2.84
Polymorph energy (0 for the lowest one) in meV per atom: 344
M_tot in μB per formula unit: 0.000
Theoretical density in g cm⁻³: 8.29

(4)
Material: BaAc2Dy
Method: DFT, GGA-PBE
State: optimized geometry

a = 5.5744 Å, b = 5.5744 Å, c = 5.5843 Å
α = 90.00°, β = 90.00°, γ = 90.00°
Space group P4/mmm (No. 123)
Symmetry-distinct sites (fractional):
Ba: 0.0000 0.0000 0.0000 x1
Ac: 0.0000 0.5000 0.5000 x2
Dy: 0.5000 0.5000 0.0000 x1

Properties
Calculated volume in A^3/atom: 43.4
Density of states at the Fermi level in states/eV/f.u.: 7.35
Polymorph energy (0 for the lowest one) in meV per atom: 84
M_tot in μB per formula unit: 0.000
Theoretical density in g cm⁻³: 7.21

(5)
Material: CaFe2Ag
Method: DFT, GGA-PBE
State: optimized geometry

a = 6.5500 Å, b = 6.5500 Å, c = 6.5500 Å
α = 90.00°, β = 90.00°, γ = 90.00°
Space group F-43m (No. 216)
Symmetry-distinct sites (fractional):
Ca: 0.0000 0.0000 0.0000 x4
Fe: 0.0000 0.0000 0.5000 x4
Fe: 0.2500 0.2500 0.2500 x4
Ag: 0.2500 0.2500 0.7500 x4

Properties
Calculated volume in A^3/atom: 17.6
Density of states at the Fermi level in states/eV/f.u.: 4.75
M_tot in μB per formula unit: 5.274
E_tot in eV per atom: -4.97
Theoretical density in g cm⁻³: 6.14

(6)
Material: Tb7Dy6Ho16
Method: DFT, GGA-PBE
State: optimized geometry

a = 15.6200 Å, b = 15.6200 Å, c = 15.6200 Å
α = 90.00°, β = 90.00°, γ = 90.00°
Space group Fm-3m (No. 225)
Symmetry-distinct sites (fractional):
Tb: 0.0000 0.0000 0.0000 x4
Tb: 0.0000 0.2500 0.2500 x24
Dy: 0.0000 0.0000 0.2754 x24
Ho: 0.1241 0.1241 0.1241 x32
Ho: 0.1514 0.1514 0.3486 x32

Properties
Calculated volume in A^3/atom: 32.9
Density of states at the Fermi level in states/eV/f.u.: 58.81
M_tot in μB per formula unit: 0.002
E_tot in eV per atom: -4.34
Theoretical density in g cm⁻³: 8.24

(7)
Material: Nd2GdPt
Method: DFT, GGA-PBE
State: optimized geometry

a = 3.6918 Å, b = 3.6918 Å, c = 8.5285 Å
α = 90.00°, β = 90.00°, γ = 90.00°
Space group P4/mmm (No. 123)
Symmetry-distinct sites (fractional):
Nd: 0.0000 0.0000 0.1976 x2
Gd: 0.5000 0.5000 0.5000 x1
Pt: 0.5000 0.5000 0.0000 x1

Properties
Calculated volume in A^3/atom: 29.1
Density of states at the Fermi level in states/eV/f.u.: 5.49
Polymorph energy (0 for the lowest one) in meV per atom: 0
M_tot in μB per formula unit: 8.574
Theoretical density in g cm⁻³: 9.15

(8)
Material: Rb3Cd2Hg9
Method: DFT, GGA-PBE
State: optimized geometry

a = 5.1478 Å, b = 11.5419 Å, c = 15.3209 Å
α = 90.00°, β = 90.00°, γ = 90.00°
Space group Immm (No. 71)
Symmetry-distinct sites (fractional):
Rb: 0.0000 0.0000 0.0000 x2
Rb: 0.0000 0.0000 0.3059 x4
Cd: 0.0000 0.2095 0.5000 x4
Hg: 0.0000 0.2855 0.1330 x8
Hg: 0.0000 0.3617 0.3340 x8
Hg: 0.0000 0.5000 0.0000 x2

Properties
Calculated volume in A^3/atom: 32.5
Density of states at the Fermi level in states/eV/f.u.: 5.12
M_tot in μB per formula unit: 0.000
E_tot in eV per atom: -0.72
Theoretical density in g cm⁻³: 8.34